# 1
{"formula": "BiC", "functional": "PBE", "state": "relaxed", "lattice_angstrom": [[-9.225, -3.653, 2.873], [-2.133, -2.345, -9.831], [1.482, -3.363, 0.481]], "species": ["C", "C", "C", "C", "C", "C", "C", "C", "Bi", "Bi", "Bi", "Bi", "Bi", "Bi", "Bi", "Bi"], "fractional_positions": [[0.304, 0.128, 0.500], [0.628, 0.196, 0.000], [0.196, 0.372, 0.000], [0.696, 0.872, 0.500], [0.372, 0.804, 0.000], [0.872, 0.304, 0.500], [0.804, 0.628, 0.000], [0.128, 0.696, 0.500], [0.103, 0.272, 0.500], [0.603, 0.772, 0.000], [0.897, 0.728, 0.500], [0.397, 0.228, 0.000], [0.772, 0.397, 0.000], [0.272, 0.897, 0.500], [0.728, 0.103, 0.500], [0.228, 0.603, 0.000]], "m_tot_mub_per_cell": 0.00, "space_group": "I4/m (87)", "ef_kj_per_mol_atoms": 170, "n_ef_per_ev_cell": 8.503}



# 2
{"formula": "CaBi2C", "functional": "PBE", "state": "relaxed", "lattice_angstrom": [[3.694, 0.000, 0.000], [0.000, 9.669, 0.000], [0.000, 0.000, 6.117]], "species": ["Bi", "Bi", "Bi", "Bi", "Ca", "Ca", "C", "C"], "fractional_positions": [[0.000, 0.836, 0.469], [0.000, 0.664, 0.969], [0.000, 0.164, 0.469], [0.000, 0.336, 0.969], [0.500, 0.000, 0.950], [0.500, 0.500, 0.450], [0.000, 0.500, 0.706], [0.000, 0.000, 0.206]], "m_tot_mub_per_cell": 0.00, "space_group": "Amm2 (38)", "ef_kj_per_mol_atoms": 43, "n_ef_per_ev_cell": 4.820}



# 3
{"formula": "CaBi2C", "functional": "PBE", "state": "relaxed", "lattice_angstrom": [[0.028, 3.153, 1.575], [-7.103, 1.722, -5.156], [-1.156, -3.894, 7.811]], "species": ["C", "C", "Bi", "Bi", "Bi", "Bi", "Ca", "Ca"], "fractional_positions": [[0.652, 0.923, 0.398], [0.841, 0.794, 0.334], [0.850, 0.657, 0.915], [0.643, 0.064, 0.117], [0.770, 0.445, 0.506], [0.723, 0.275, 0.920], [0.292, 0.582, 0.265], [0.200, 0.135, 0.540]], "m_tot_mub_per_cell": 0.00, "space_group": "P1 (1)", "ef_kj_per_mol_atoms": -2, "n_ef_per_ev_cell": 1.495}



# 4
{"formula": "CaBi2C", "functional": "PBE", "state": "relaxed", "lattice_angstrom": [[-1.237, -5.936, -0.215], [0.813, -0.044, -3.463], [10.261, 3.176, 2.367]], "species": ["Bi", "Bi", "Bi", "Bi", "C", "C", "Ca", "Ca"], "fractional_positions": [[0.604, 0.500, 0.881], [0.999, 0.500, 0.260], [0.604, 0.000, 0.381], [0.999, 0.000, 0.760], [0.190, 0.000, 0.194], [0.190, 0.500, 0.694], [0.300, 0.500, 0.075], [0.300, 0.000, 0.575]], "m_tot_mub_per_cell": 0.00, "space_group": "Cm (8)", "ef_kj_per_mol_atoms": 37, "n_ef_per_ev_cell": 4.184}



# 5
{"formula": "CaBi3C", "functional": "PBE", "state": "relaxed", "lattice_angstrom": [[-0.056, -0.368, -5.839], [4.147, -4.121, 0.220], [-4.127, -4.136, 0.300]], "species": ["Bi", "Bi", "Bi", "Ca", "C"], "fractional_positions": [[0.000, 0.000, 0.500], [0.000, 0.500, 0.000], [0.500, 0.000, 0.000], [0.000, 0.000, 0.000], [0.500, 0.500, 0.500]], "m_tot_mub_per_cell": 1.44, "space_group": "Pm-3m (221)", "ef_kj_per_mol_atoms": 181, "n_ef_per_ev_cell": 6.372}



# 6
{"formula": "CaBi2C", "functional": "PBE", "state": "relaxed", "lattice_angstrom": [[-1.493, 6.872, 2.078], [-0.480, -2.213, 6.974], [2.970, 3.038, 5.023]], "species": ["C", "C", "Ca", "Ca", "Bi", "Bi", "Bi", "Bi"], "fractional_positions": [[0.250, 0.750, 0.500], [0.500, 0.500, 0.000], [0.750, 0.250, 0.500], [0.000, 0.000, 0.000], [0.225, 0.625, 0.250], [0.525, 0.125, 0.250], [0.875, 0.775, 0.750], [0.375, 0.475, 0.750]], "m_tot_mub_per_cell": 0.00, "space_group": "I-42d (122)", "ef_kj_per_mol_atoms": 55, "n_ef_per_ev_cell": 2.078}



# 7
{"formula": "Ca3BiC", "functional": "PBE", "state": "relaxed", "lattice_angstrom": [[5.039, 0.000, 0.000], [0.000, 5.039, 0.000], [0.000, 0.000, 5.039]], "species": ["Ca", "Ca", "Ca", "Bi", "C"], "fractional_positions": [[0.000, 0.500, 0.000], [0.000, 0.000, 0.500], [0.500, 0.000, 0.000], [0.500, 0.500, 0.500], [0.000, 0.000, 0.000]], "m_tot_mub_per_cell": 0.00, "space_group": "Pm-3m (221)", "ef_kj_per_mol_atoms": -31, "n_ef_per_ev_cell": 3.937}



# 8
{"formula": "CaBi2C", "functional": "PBE", "state": "relaxed", "lattice_angstrom": [[3.537, -0.004, -0.007], [0.027, 5.403, -0.006], [1.632, 0.654, 6.487]], "species": ["Bi", "Bi", "C", "Ca"], "fractional_positions": [[0.230, 0.980, 0.249], [0.949, 0.010, 0.757], [0.799, 0.213, 0.090], [0.368, 0.485, 0.936]], "m_tot_mub_per_cell": 0.00, "space_group": "P1 (1)", "ef_kj_per_mol_atoms": 37, "n_ef_per_ev_cell": 1.309}



# 9
{"formula": "Ca12Bi3C5", "functional": "PBE", "state": "relaxed", "lattice_angstrom": [[-10.501, 9.664, 0.690], [-4.670, -11.625, -6.868], [4.049, -3.586, 13.224]], "species": ["Ca", "Ca", "Ca", "Ca", "Ca", "Ca", "Ca", "Ca", "Ca", "Ca", "Ca", "Ca", "Ca", "Ca", "Ca", "Ca", "Ca", "Ca", "Ca", "Ca", "Ca", "Ca", "Ca", "Ca", "Ca", "Ca", "Ca", "Ca", "Ca", "Ca", "Ca", "Ca", "Ca", "Ca", "Ca", "Ca", "Ca", "Ca", "Ca", "Ca", "Ca", "Ca", "Ca", "Ca", "Ca", "Ca", "Ca", "Ca", "Bi", "Bi", "Bi", "Bi", "Bi", "Bi", "Bi", "Bi", "Bi", "Bi", "Bi", "Bi", "C", "C", "C", "C", "C", "C", "C", "C", "C", "C", "C", "C", "C", "C", "C", "C", "C", "C", "C", "C"], "fractional_positions": [[0.917, 0.096, 0.611], [0.515, 0.194, 0.111], [0.096, 0.179, 0.485], [0.694, 0.111, 0.015], [0.611, 0.015, 0.194], [0.485, 0.806, 0.889], [0.417, 0.111, 0.596], [0.404, 0.015, 0.321], [0.321, 0.515, 0.404], [0.417, 0.306, 0.321], [0.179, 0.083, 0.694], [0.806, 0.485, 0.389], [0.821, 0.917, 0.306], [0.515, 0.321, 0.904], [0.389, 0.404, 0.083], [0.806, 0.321, 0.917], [0.985, 0.596, 0.179], [0.611, 0.596, 0.917], [0.015, 0.404, 0.821], [0.679, 0.485, 0.596], [0.194, 0.515, 0.611], [0.904, 0.821, 0.515], [0.306, 0.889, 0.985], [0.179, 0.096, 0.985], [0.111, 0.417, 0.096], [0.583, 0.889, 0.404], [0.194, 0.679, 0.083], [0.404, 0.389, 0.583], [0.015, 0.611, 0.694], [0.306, 0.417, 0.821], [0.694, 0.583, 0.179], [0.596, 0.611, 0.417], [0.596, 0.985, 0.679], [0.096, 0.917, 0.111], [0.321, 0.806, 0.417], [0.083, 0.904, 0.389], [0.889, 0.583, 0.904], [0.111, 0.694, 0.515], [0.485, 0.679, 0.096], [0.583, 0.694, 0.679], [0.679, 0.194, 0.583], [0.917, 0.821, 0.806], [0.389, 0.985, 0.806], [0.821, 0.904, 0.015], [0.985, 0.389, 0.306], [0.904, 0.083, 0.889], [0.083, 0.179, 0.194], [0.889, 0.306, 0.485], [0.875, 0.125, 0.250], [0.250, 0.625, 0.875], [0.375, 0.750, 0.625], [0.750, 0.875, 0.625], [0.375, 0.625, 0.250], [0.750, 0.375, 0.125], [0.625, 0.250, 0.375], [0.125, 0.875, 0.750], [0.250, 0.125, 0.375], [0.875, 0.750, 0.125], [0.625, 0.375, 0.750], [0.125, 0.250, 0.875], [0.875, 0.625, 0.750], [0.250, 0.375, 0.625], [0.500, 0.500, 0.000], [0.125, 0.750, 0.375], [0.500, 0.500, 0.500], [0.500, 0.000, 0.000], [0.500, 0.000, 0.500], [0.375, 0.125, 0.750], [0.000, 0.500, 0.000], [0.000, 0.500, 0.500], [0.625, 0.875, 0.250], [0.000, 0.000, 0.000], [0.750, 0.625, 0.375], [0.125, 0.375, 0.250], [0.000, 0.000, 0.500], [0.625, 0.750, 0.875], [0.750, 0.125, 0.875], [0.375, 0.250, 0.125], [0.250, 0.875, 0.125], [0.875, 0.250, 0.625]], "m_tot_mub_per_cell": 20.47, "space_group": "Ia-3d (230)", "ef_kj_per_mol_atoms": 8, "n_ef_per_ev_cell": 55.585}



# 10
{"formula": "CaBi2C", "functional": "PBE", "state": "relaxed", "lattice_angstrom": [[3.639, -0.048, -0.016], [-0.094, 6.363, -0.034], [-0.787, -2.038, 10.027]], "species": ["C", "C", "Bi", "Bi", "Bi", "Bi", "Ca", "Ca"], "fractional_positions": [[0.690, 0.703, 0.564], [0.872, 0.664, 0.463], [0.492, 0.191, 0.017], [0.769, 0.691, 0.015], [0.744, 0.278, 0.744], [0.850, 0.094, 0.289], [0.231, 0.773, 0.725], [0.332, 0.600, 0.302]], "m_tot_mub_per_cell": 0.00, "space_group": "P1 (1)", "ef_kj_per_mol_atoms": -1, "n_ef_per_ev_cell": 1.236}



# 11
{"formula": "CaBi2C", "functional": "PBE", "state": "relaxed", "lattice_angstrom": [[-3.825, 1.883, 0.938], [1.164, -1.112, 6.570], [3.733, 7.163, -1.794]], "species": ["Bi", "Bi", "Bi", "Bi", "C", "C", "Ca", "Ca"], "fractional_positions": [[0.945, 0.919, 0.627], [0.429, 0.529, 0.022], [0.480, 0.942, 0.924], [0.440, 0.940, 0.319], [0.527, 0.379, 0.439], [0.307, 0.387, 0.533], [0.969, 0.473, 0.304], [0.872, 0.435, 0.713]], "m_tot_mub_per_cell": 0.00, "space_group": "P1 (1)", "ef_kj_per_mol_atoms": -1, "n_ef_per_ev_cell": 2.387}



# 12
{"formula": "Ca3BiC", "functional": "PBE", "state": "relaxed", "lattice_angstrom": [[5.926, 0.000, 0.000], [0.000, 5.926, 0.000], [0.000, 0.000, 5.926]], "species": ["Ca", "Ca", "Ca", "C", "Bi"], "fractional_positions": [[0.000, 0.500, 0.000], [0.000, 0.000, 0.500], [0.500, 0.000, 0.000], [0.500, 0.500, 0.500], [0.000, 0.000, 0.000]], "m_tot_mub_per_cell": 1.12, "space_group": "Pm-3m (221)", "ef_kj_per_mol_atoms": 99, "n_ef_per_ev_cell": 3.978}



# 13
{"formula": "CaBi2C", "functional": "PBE", "state": "relaxed", "lattice_angstrom": [[-5.396, -1.019, 1.302], [0.425, -3.393, -0.895], [3.809, -0.651, 4.277]], "species": ["Bi", "Bi", "C", "Ca"], "fractional_positions": [[0.713, 0.000, 0.108], [0.472, 0.500, 0.479], [0.779, 0.000, 0.564], [0.098, 0.500, 0.817]], "m_tot_mub_per_cell": 0.00, "space_group": "Pm (6)", "ef_kj_per_mol_atoms": 34, "n_ef_per_ev_cell": 1.665}



# 14
{"formula": "Ca2BiC", "functional": "PBE", "state": "relaxed", "lattice_angstrom": [[0.000, 3.652, 3.652], [3.652, 0.000, 3.652], [3.652, 3.652, 0.000]], "species": ["Ca", "Ca", "C", "Bi"], "fractional_positions": [[0.750, 0.750, 0.750], [0.250, 0.250, 0.250], [0.000, 0.000, 0.000], [0.500, 0.500, 0.500]], "m_tot_mub_per_cell": 0.00, "space_group": "Fm-3m (225)", "ef_kj_per_mol_atoms": 53, "n_ef_per_ev_cell": 2.890}



# 15
{"formula": "CaBi2C", "functional": "PBE", "state": "relaxed", "lattice_angstrom": [[-1.467, 1.650, 2.710], [-2.232, -3.526, 0.938], [10.135, -4.265, 8.084]], "species": ["Bi", "Bi", "Bi", "Bi", "C", "C", "Ca", "Ca"], "fractional_positions": [[0.500, 0.500, 0.404], [0.000, 0.000, 0.201], [0.500, 0.000, 0.904], [0.000, 0.500, 0.701], [0.500, 0.000, 0.081], [0.500, 0.500, 0.581], [0.000, 0.500, 0.035], [0.000, 0.000, 0.535]], "m_tot_mub_per_cell": 0.00, "space_group": "Amm2 (38)", "ef_kj_per_mol_atoms": 37, "n_ef_per_ev_cell": 2.352}



# 16
{"formula": "CaBi2C", "functional": "PBE", "state": "relaxed", "lattice_angstrom": [[4.379, 0.025, -0.002], [-0.016, 7.050, -0.377], [-0.598, -3.432, 7.762]], "species": ["C", "C", "Bi", "Bi", "Bi", "Bi", "Ca", "Ca"], "fractional_positions": [[0.782, 0.162, 0.532], [0.004, 0.123, 0.437], [0.425, 0.554, 0.242], [0.898, 0.222, 0.009], [0.889, 0.699, 0.962], [0.361, 0.771, 0.725], [0.442, 0.071, 0.257], [0.345, 0.274, 0.717]], "m_tot_mub_per_cell": 0.00, "space_group": "P1 (1)", "ef_kj_per_mol_atoms": -5, "n_ef_per_ev_cell": 2.443}



# 17
{"formula": "CaBi2C", "functional": "PBE", "state": "relaxed", "lattice_angstrom": [[5.598, 0.026, 0.022], [-1.465, 5.557, 0.006], [-0.523, -0.464, 7.758]], "species": ["Bi", "Bi", "Bi", "Bi", "C", "C", "Ca", "Ca"], "fractional_positions": [[0.633, 0.764, 0.116], [0.648, 0.249, 0.325], [0.658, 0.057, 0.705], [0.121, 0.914, 0.917], [0.164, 0.445, 0.443], [0.248, 0.269, 0.397], [0.050, 0.838, 0.461], [0.328, 0.459, 0.756]], "m_tot_mub_per_cell": 0.00, "space_group": "P1 (1)", "ef_kj_per_mol_atoms": 7, "n_ef_per_ev_cell": 1.973}



# 18
{"formula": "CaBi2C", "functional": "PBE", "state": "relaxed", "lattice_angstrom": [[-2.327, -3.597, 0.752], [2.728, -0.636, 5.577], [-5.229, 4.564, 5.767]], "species": ["Bi", "Bi", "Bi", "Bi", "C", "C", "Ca", "Ca"], "fractional_positions": [[0.203, 0.421, 0.991], [0.202, 0.774, 0.429], [0.702, 0.622, 0.687], [0.705, 0.048, 0.071], [0.203, 0.146, 0.444], [0.203, 0.345, 0.452], [0.703, 0.393, 0.300], [0.205, 0.101, 0.745]], "m_tot_mub_per_cell": 0.00, "space_group": "P1 (1)", "ef_kj_per_mol_atoms": 2, "n_ef_per_ev_cell": 1.377}



# 19
{"formula": "CaBi2C", "functional": "PBE", "state": "relaxed", "lattice_angstrom": [[-1.639, 3.422, -1.502], [-1.582, -2.677, -4.969], [-9.203, -2.703, 0.982]], "species": ["C", "C", "Bi", "Bi", "Bi", "Bi", "Ca", "Ca"], "fractional_positions": [[0.394, 0.044, 0.454], [0.606, 0.956, 0.546], [0.500, 0.500, 0.000], [0.445, 0.744, 0.273], [0.000, 0.000, 0.000], [0.555, 0.256, 0.727], [0.948, 0.234, 0.308], [0.052, 0.766, 0.692]], "m_tot_mub_per_cell": 0.00, "space_group": "P-1 (2)", "ef_kj_per_mol_atoms": 0, "n_ef_per_ev_cell": 3.582}



# 20
{"formula": "Ca2BiC", "functional": "PBE", "state": "relaxed", "lattice_angstrom": [[-2.209, -7.141, 2.760], [7.363, -1.194, 2.804], [1.745, -2.849, 5.527]], "species": ["Ca", "Ca", "Ca", "Ca", "Bi", "Bi", "C", "C"], "fractional_positions": [[0.875, 0.782, 0.750], [0.532, 0.125, 0.250], [0.218, 0.625, 0.250], [0.375, 0.468, 0.750], [0.750, 0.250, 0.500], [0.000, 0.000, 0.000], [0.250, 0.750, 0.500], [0.500, 0.500, 0.000]], "m_tot_mub_per_cell": 1.68, "space_group": "I-42d (122)", "ef_kj_per_mol_atoms": 31, "n_ef_per_ev_cell": 7.647}



# 21
{"formula": "CaBi2C", "functional": "PBE", "state": "relaxed", "lattice_angstrom": [[-4.662, 1.380, 0.087], [-0.235, -0.568, -3.598], [1.080, -12.449, 1.896]], "species": ["C", "C", "Bi", "Bi", "Bi", "Bi", "Ca", "Ca"], "fractional_positions": [[0.797, 0.500, 0.848], [0.797, 0.000, 0.348], [0.814, 0.500, 0.663], [0.511, 0.500, 0.360], [0.814, 0.000, 0.163], [0.511, 0.000, 0.860], [0.188, 0.500, 0.035], [0.188, 0.000, 0.535]], "m_tot_mub_per_cell": 0.00, "space_group": "Cm (8)", "ef_kj_per_mol_atoms": 45, "n_ef_per_ev_cell": 4.438}



# 22
{"formula": "CaBi2C", "functional": "PBE", "state": "relaxed", "lattice_angstrom": [[-3.644, 2.439, -0.876], [-1.335, -6.103, -0.634], [-0.680, 1.947, 8.791]], "species": ["Bi", "Bi", "Bi", "Bi", "Ca", "Ca", "C", "C"], "fractional_positions": [[0.204, 0.968, 0.682], [0.568, 0.527, 0.038], [0.194, 0.926, 0.239], [0.709, 0.988, 0.939], [0.948, 0.428, 0.731], [0.510, 0.597, 0.417], [0.842, 0.352, 0.440], [0.005, 0.219, 0.397]], "m_tot_mub_per_cell": 0.00, "space_group": "P1 (1)", "ef_kj_per_mol_atoms": 2, "n_ef_per_ev_cell": 0.352}